Compound: Na3PmPr2Te6
Source: Alexandria via LeMat-Bulk
Functional: GGA-PBE
Structure: optimized geometry

Unit cell a=7.8965 b=13.6792 c=8.0188 alpha=90.00 beta=109.17 gamma=90.00
Space group C2/m (No. 12)
Symmetry-distinct sites (fractional):
Na (0.0000, 0.0000, 0.0000) [2 per cell]
Na (0.0000, 0.3324, 0.0000) [4 per cell]
Pm (0.0000, 0.5000, 0.5000) [2 per cell]
Pr (0.0000, 0.1665, 0.5000) [4 per cell]
Te (0.2450, 0.3349, 0.7398) [8 per cell]
Te (0.2500, 0.0000, 0.7398) [4 per cell]

## Properties
Formation energy without anion corrections, eV/atom: -1.330

***

Compound: Sr2CaYTe4
Source: Alexandria via LeMat-Bulk
Functional: GGA-PBE
Structure: optimized geometry

Unit cell a=7.9202 b=4.5539 c=7.9673 alpha=90.00 beta=109.21 gamma=90.00
Space group P2/m (No. 10)
Symmetry-distinct sites (fractional):
Sr (0.0000, 0.0000, 0.0000) [1 per cell]
Sr (0.5000, 0.5000, 0.0000) [1 per cell]
Ca (0.0000, 0.5000, 0.5000) [1 per cell]
Y (0.5000, 0.0000, 0.5000) [1 per cell]
Te (0.2487, 0.0000, 0.7337) [2 per cell]
Te (0.2595, 0.5000, 0.2680) [2 per cell]

## Properties
Formation energy without anion corrections, eV/atom: -1.595
N(E_F), states/eV per atom: 0.32

***

Compound: GeH2Pt2
Source: Alexandria via LeMat-Bulk
Functional: GGA-PBE
Structure: optimized geometry

Unit cell a=3.3833 b=3.3833 c=9.7887 alpha=90.00 beta=90.00 gamma=90.00
Space group I4/mmm (No. 139)
Symmetry-distinct sites (fractional):
Ge (0.0000, 0.0000, 0.0000) [2 per cell]
H (0.0000, 0.5000, 0.2500) [4 per cell]
Pt (0.0000, 0.0000, 0.3530) [4 per cell]

## Properties
Offset from the most stable computed form, eV/atom: 0.080
N(E_F), states/eV per atom: 0.36

***

Compound: CsWI2N
Source: Alexandria via LeMat-Bulk
Functional: GGA-PBE
Structure: optimized geometry

Unit cell a=6.1394 b=6.1394 c=3.9394 alpha=90.00 beta=90.00 gamma=90.00
Space group P4/mmm (No. 123)
Symmetry-distinct sites (fractional):
Cs (0.0000, 0.0000, 0.0000) [1 per cell]
W (0.5000, 0.5000, 0.5000) [1 per cell]
I (0.0000, 0.5000, 0.5000) [2 per cell]
N (0.5000, 0.5000, 0.0000) [1 per cell]

## Properties
Formation energy without anion corrections, eV/atom: -0.117
N(E_F), states/eV per atom: 0.36

***

Compound: ScSnRu2
Source: Alexandria via LeMat-Bulk
Functional: GGA-PBE
Structure: optimized geometry

Unit cell a=4.1863 b=4.1863 c=17.6193 alpha=90.00 beta=90.00 gamma=90.00
Space group I-42d (No. 122)
Symmetry-distinct sites (fractional):
Sc (0.0000, 0.0000, 0.0000) [4 per cell]
Sn (0.0000, 0.0000, 0.5000) [4 per cell]
Ru (0.1891, 0.2500, 0.1250) [8 per cell]

## Properties
Formation energy, meV/atom: 216
N(E_F), states/eV per atom: 0.89

***

Compound: Tl2ReOs
Source: Alexandria via LeMat-Bulk
Functional: GGA-PBE
Structure: optimized geometry

Unit cell a=6.1409 b=8.3349 c=2.9243 alpha=90.00 beta=90.00 gamma=90.00
Space group Cmmm (No. 65)
Symmetry-distinct sites (fractional):
Tl (0.2500, 0.2500, 0.0000) [4 per cell]
Re (0.0000, 0.0000, 0.5000) [2 per cell]
Os (0.0000, 0.5000, 0.5000) [2 per cell]

## Properties
Formation energy, meV/atom: 1397
Offset from the most stable computed form, eV/atom: 0.884
N(E_F), states/eV per atom: 1.27

***

Compound: YTl2In
Source: Alexandria via LeMat-Bulk
Functional: GGA-PBE
Structure: optimized geometry

Unit cell a=4.7503 b=4.7503 c=4.7071 alpha=90.00 beta=90.00 gamma=90.00
Space group P4/mmm (No. 123)
Symmetry-distinct sites (fractional):
Y (0.0000, 0.0000, 0.0000) [1 per cell]
Tl (0.0000, 0.5000, 0.5000) [2 per cell]
In (0.5000, 0.5000, 0.0000) [1 per cell]

## Properties
Formation energy, meV/atom: -298
N(E_F), states/eV per atom: 0.40

***

Compound: NdIn2Au4
Source: Alexandria via LeMat-Bulk
Functional: GGA-PBE
Structure: optimized geometry

Unit cell a=19.7853 b=4.6180 c=6.8333 alpha=90.00 beta=90.00 gamma=90.00
Space group Pnma (No. 62)
Symmetry-distinct sites (fractional):
Nd (0.1299, 0.2500, 0.0062) [4 per cell]
In (0.0301, 0.7500, 0.3174) [4 per cell]
In (0.2368, 0.2500, 0.4839) [4 per cell]
Au (0.0267, 0.7500, 0.8805) [4 per cell]
Au (0.0944, 0.2500, 0.4872) [4 per cell]
Au (0.1582, 0.7500, 0.7052) [4 per cell]
Au (0.1773, 0.7500, 0.2958) [4 per cell]

## Properties
Formation energy, meV/atom: -450
N(E_F), states/eV per atom: 0.39

***

Compound: CaY2As
Source: Alexandria via LeMat-Bulk
Functional: GGA-PBE
Structure: optimized geometry

Unit cell a=4.4842 b=4.4842 c=10.8324 alpha=90.00 beta=90.00 gamma=90.00
Space group I-4m2 (No. 119)
Symmetry-distinct sites (fractional):
Ca (0.0000, 0.0000, 0.0000) [2 per cell]
Y (0.0000, 0.0000, 0.5000) [2 per cell]
Y (0.0000, 0.5000, 0.7500) [2 per cell]
As (0.0000, 0.5000, 0.2500) [2 per cell]

## Properties
Formation energy, meV/atom: -353
N(E_F), states/eV per atom: 0.92

***

Compound: LaZrH2
Source: Alexandria via LeMat-Bulk
Functional: GGA-PBE
Structure: optimized geometry

Unit cell a=6.2070 b=6.2070 c=6.2070 alpha=90.00 beta=90.00 gamma=90.00
Space group Fm-3m (No. 225)
Symmetry-distinct sites (fractional):
La (0.0000, 0.0000, 0.0000) [4 per cell]
Zr (0.0000, 0.0000, 0.5000) [4 per cell]
H (0.2500, 0.2500, 0.2500) [8 per cell]

## Properties
Offset from the most stable computed form, eV/atom: 0.567
N(E_F), states/eV per atom: 0.90

***

Compound: KBiC3
Source: Alexandria via LeMat-Bulk
Functional: GGA-PBE
Structure: optimized geometry

Unit cell a=4.7233 b=4.7233 c=4.7233 alpha=90.00 beta=90.00 gamma=90.00
Space group Pm-3m (No. 221)
Symmetry-distinct sites (fractional):
K (0.0000, 0.0000, 0.0000) [1 per cell]
Bi (0.5000, 0.5000, 0.5000) [1 per cell]
C (0.0000, 0.5000, 0.5000) [3 per cell]

## Properties
Formation energy, meV/atom: 2842
Offset from the most stable computed form, eV/atom: 0.000
N(E_F), states/eV per atom: 0.88

***

Compound: PmSm2UTc2
Source: Alexandria via LeMat-Bulk
Functional: GGA-PBE
Structure: optimized geometry

Unit cell a=7.1636 b=13.5691 c=6.6529 alpha=90.00 beta=90.00 gamma=90.00
Space group Ibam (No. 72)
Symmetry-distinct sites (fractional):
Pm (0.0000, 0.0000, 0.2500) [4 per cell]
Sm (0.2003, 0.3066, 0.0000) [8 per cell]
U (0.0000, 0.5000, 0.2500) [4 per cell]
Tc (0.1917, 0.4070, 0.5000) [8 per cell]

## Properties
Formation energy, meV/atom: 23
N(E_F), states/eV per atom: 1.31